The following is a DFT calculation (PBE) of a relaxed Dy2P7Pd12 crystal.

Lattice parameters (Å, degrees): 9.7792 9.7792 3.9945 90.00 90.00 120.00
Positions (direct):
Dy 0.3333 0.6667 0.2495
Dy 0.6667 0.3333 0.7505
P 0.0000 0.0000 0.0000
P 0.1202 0.4138 0.7486
P 0.2936 0.8798 0.7486
P 0.4138 0.2936 0.2514
P 0.5862 0.7064 0.7486
P 0.7064 0.1202 0.2514
P 0.8798 0.5862 0.2514
Pd 0.0639 0.6223 0.7512
Pd 0.1050 0.8542 0.2604
Pd 0.1458 0.2508 0.2604
Pd 0.2508 0.1050 0.7396
Pd 0.3777 0.4416 0.7512
Pd 0.4416 0.0639 0.2488
Pd 0.5584 0.9361 0.7512
Pd 0.6223 0.5584 0.2488
Pd 0.7492 0.8950 0.2604
Pd 0.8542 0.7492 0.7396
Pd 0.8950 0.1458 0.7396
Pd 0.9361 0.3777 0.2488

Properties
The value obtained for the total energy is -5.900 eV per atom. The space group is P-3 (147). For the volume, the calculation gives 331 Å³/cell.



The following is a DFT calculation (PBE) of a relaxed DyP2Pd3 crystal.

Lattice parameters (Å, degrees): 8.3299 8.3299 9.8804 107.21 107.21 27.26
Positions (direct):
Dy 0.0000 0.0000 0.0000
Dy 0.1487 0.1487 0.6982
Dy 0.8513 0.8513 0.3018
P 0.2016 0.2016 0.1346
P 0.3664 0.3664 0.5484
P 0.4619 0.4619 0.2060
P 0.5381 0.5381 0.7940
P 0.6336 0.6336 0.4516
P 0.7984 0.7984 0.8654
Pd 0.0437 0.0437 0.3287
Pd 0.2296 0.2296 0.3894
Pd 0.3207 0.3207 0.0376
Pd 0.3716 0.3716 0.7958
Pd 0.5000 0.5000 0.5000
Pd 0.6284 0.6284 0.2042
Pd 0.6793 0.6793 0.9624
Pd 0.7704 0.7704 0.6106
Pd 0.9563 0.9563 0.6713

Properties
The value obtained for the total energy is -6.040 eV per atom. The space group is C2/m (12). For the volume, the calculation gives 299 Å³/cell.



The following is a DFT calculation (PBE) of a relaxed Dy3P4Pd7 crystal.

Lattice parameters (Å, degrees): 7.9499 7.9499 9.4012 124.22 124.22 29.15
Positions (direct):
Dy 0.0000 0.0000 0.0000
Dy 0.3199 0.3199 0.3229
Dy 0.6801 0.6801 0.6771
P 0.1062 0.1062 0.8201
P 0.3406 0.3406 0.7463
P 0.6594 0.6594 0.2537
P 0.8938 0.8938 0.1799
Pd 0.0000 0.0000 0.5000
Pd 0.1676 0.1676 0.4203
Pd 0.3053 0.3053 0.9700
Pd 0.4902 0.4902 0.7164
Pd 0.5098 0.5098 0.2836
Pd 0.6947 0.6947 0.0300
Pd 0.8324 0.8324 0.5797

Properties
The value obtained for the total energy is -6.124 eV per atom. The space group is C2/m (12). For the volume, the calculation gives 236 Å³/cell.



Q: What is the formula in the third record?
A: Dy3P4Pd7